# 1
VASP calculation (PBE) on crystalline CeEr2PaN4 at its relaxed geometry.

Uncorrected formation energy in eV/atom: -1.663
ρ in g cm⁻³: 10.59

Structure (extended XYZ):
```
8
Lattice="6.0281 0.0000 0.0000 0.0000 3.4797 0.0000 -1.9928 0.0000 5.6924" Properties=species:S:1:pos:R:3 pbc="T T T"
Ce 0.0000 0.0000 0.0000
Er -0.9964 1.7398 2.8462
Er 2.0176 0.0000 2.8462
Pa 3.0140 1.7398 0.0000
N 0.0710 0.0000 4.2726
N 1.0867 1.7398 1.4281
N 2.9486 1.7398 4.2643
N 3.9643 0.0000 1.4198
```

***

# 2
VASP calculation (PBE) on crystalline YZnIn2Pb at its relaxed geometry.

Formation energy in eV per atom: 0.6442
ρ in g cm⁻³: 4.58

Structure (extended XYZ):
```
5
Lattice="6.0500 0.0000 0.0000 0.0000 6.0500 0.0000 0.0000 0.0000 5.8571" Properties=species:S:1:pos:R:3 pbc="T T T"
Y 0.0000 0.0000 0.0000
Zn 3.0250 3.0250 2.9285
In 0.0000 3.0250 0.0000
In 3.0250 0.0000 0.0000
Pb 0.0000 0.0000 2.9285
```